# 1
A relaxed structure of LiSiBiO4, computed with PBE-GGA.

It has space group Pna2_1 (No. 33), with a = 10.718 Å, b = 7.499 Å, c = 5.273 Å, α = 90.00°, β = 90.00° and γ = 90.00°. The distinct sites, in fractional coordinates, are Li at (0.156, 0.016, 0.000), Si at (0.106, 0.783, 0.505), Bi at (0.135, 0.516, 0.992), O at (0.043, 0.216, 0.947), O at (0.143, 0.787, 0.809), O at (0.167, 0.592, 0.393) and O at (0.179, 0.955, 0.371).

For the density, the calculation gives 4.83 g/cm3.


# 2
A relaxed structure of LiSiBiO4, computed with PBE-GGA.

It has space group Cmcm (No. 63), with a = 5.983 Å, b = 8.929 Å, c = 6.806 Å, α = 90.00°, β = 90.00° and γ = 90.00°. The distinct sites, in fractional coordinates, are Li at (0.000, 0.157, 0.250), Si at (0.000, 0.145, 0.750), Bi at (0.000, 0.500, 0.000), O at (0.000, 0.240, 0.545) and O at (0.219, 0.025, 0.750).

For the density, the calculation gives 5.63 g/cm3.


# 3
A relaxed structure of LiSiBi3O7, computed with PBE-GGA.

It has space group P6_3 (No. 173), with a = 8.5641 Å, b = 8.5641 Å, c = 5.2471 Å, α = 90.00°, β = 90.00° and γ = 120.00°. The distinct sites, in fractional coordinates, are Li at (0.0000, 0.0000, 0.0000), Si at (0.3333, 0.6667, 0.1404), Bi at (0.0901, 0.7335, 0.6699), O at (0.0850, 0.8578, 0.3008), O at (0.1301, 0.5309, 0.0180) and O at (0.3333, 0.6667, 0.4532).

For the density, the calculation gives 7.71 g/cm3.


# 4
A relaxed structure of LiSi2BiO6, computed with PBE-GGA.

It has space group C2/c (No. 15), with a = 10.146 Å, b = 9.338 Å, c = 5.295 Å, α = 90.00°, β = 105.64° and γ = 90.00°. The distinct sites, in fractional coordinates, are Li at (0.000, 0.091, 0.250), Si at (0.219, 0.408, 0.269), Bi at (0.000, 0.277, 0.750), O at (0.114, 0.097, 0.645), O at (0.140, 0.258, 0.177) and O at (0.166, 0.479, 0.514).

For the density, the calculation gives 5.06 g/cm3.


no.,magnetization (Bohr magnetons per cell),V (Å³/atom),ΔE_f (raw) (meV per atom)
1,0.0,15.1,-2068
2,0.0,13.0,-2064
3,0.0,13.9,-1721
4,0.0,12.1,-2317